Na4Mg SCAN single point on PBEsol structure; E_form = 1.0 eV per formula unit; Fermi-level density of states = 2.30 states/eV/cell
1.0
-2.077 3.919 -0.714
-2.625 -1.952 -3.079
-3.434 -2.926 8.060
Mg Na
1 4
Direct
0.000 0.000 0.000
0.750 0.250 0.500
0.409 0.409 0.818
0.591 0.591 0.182
0.250 0.750 0.500

=====

CoTcNi2N SCAN single point on PBEsol structure; uncorrected formation energy = 0.2967 eV per atom; Fermi-level density of states = 4.46 states/eV/cell
1.0
-2.059 0.651 -2.986
1.202 -3.227 -1.532
-2.885 -1.830 1.591
Ni Co Tc N
2 1 1 1
Direct
0.000 0.000 0.500
0.000 0.500 0.000
0.500 0.000 0.000
0.500 0.500 0.500
0.000 0.000 0.000